Entry 1:
The following is a DFT calculation (PBEsol) of crystalline SrMo2Rh at its relaxed geometry.

Results
calculated formation energy = 62.6 kJ/mol of atoms
total magnetization = 0.000 μB per formula unit
theoretical density = 7.7 g cm⁻³
ΔE to the lowest computed polymorph = 0.53 eV/f.u.
DFT total energy = -7.73 eV/atom

Unit cell a=3.3487 b=3.3487 c=7.3119 alpha=90.00 beta=90.00 gamma=90.00
Closest atoms and distances in Å follow each position.
Element x y z (fractional)
Mo: 0.0000 0.0000 0.8426  1 Mo 2.30
Mo: 0.0000 0.0000 0.1574  1 Mo 2.30
Rh: 0.5000 0.5000 0.0000  8 Mo 2.63
Sr: 0.5000 0.5000 0.5000  4 Sr 3.35, 8 Mo 3.45, 2 Rh 3.66

***

Entry 2:
The following is a DFT calculation (PBEsol) of crystalline SrMo2Rh at its relaxed geometry.

Results
calculated formation energy = 49.8 kJ/mol of atoms
total magnetization = 0.000 μB per formula unit
theoretical density = 7.8 g cm⁻³
ΔE to the lowest computed polymorph = 0.00 eV/f.u.
DFT total energy = -7.86 eV/atom

Unit cell a=3.1018 b=5.2377 c=5.3393 alpha=102.14 beta=106.89 gamma=90.00
Closest atoms and distances in Å follow each position.
Element x y z (fractional)
Mo: 0.7844 0.8565 0.5688  2 Mo 2.37
Mo: 0.2156 0.1435 0.4312  2 Mo 2.37
Rh: 0.5000 0.0000 0.0000  4 Mo 2.66
Sr: 0.0000 0.5000 0.0000  4 Rh 3.04, 2 Sr 3.10, 2 Mo 3.19

***

Entry 3:
The following is a DFT calculation (PBEsol) of crystalline SrMo2Rh at its relaxed geometry.

Results
calculated formation energy = 83.5 kJ/mol of atoms
total magnetization = 0.000 μB per formula unit
theoretical density = 8.7 g cm⁻³
ΔE to the lowest computed polymorph = 1.40 eV/f.u.
DFT total energy = -7.51 eV/atom

Unit cell a=3.7860 b=3.7860 c=5.0798 alpha=90.00 beta=90.00 gamma=90.00
Closest atoms and distances in Å follow each position.
Element x y z (fractional)
Mo: 0.5000 0.0000 0.0000  4 Mo 2.68
Mo: 0.0000 0.5000 0.0000  4 Mo 2.68
Rh: 0.5000 0.5000 0.5000  4 Sr 2.68
Sr: 0.0000 0.0000 0.5000  4 Rh 2.68

***

Entry 4:
The following is a DFT calculation (PBEsol) of crystalline SrMo2Rh at its relaxed geometry.

Results
calculated formation energy = 78.9 kJ/mol of atoms
total magnetization = 0.001 μB per formula unit
theoretical density = 9.0 g cm⁻³
ΔE to the lowest computed polymorph = 1.21 eV/f.u.
DFT total energy = -7.56 eV/atom

Unit cell a=2.8350 b=2.8350 c=10.2601 alpha=82.06 beta=82.06 gamma=60.00
Closest atoms and distances in Å follow each position.
Element x y z (fractional)
Mo: 0.7627 0.7627 0.7118  3 Rh 2.70, 6 Mo 2.84
Mo: 0.2373 0.2373 0.2882  3 Rh 2.70, 6 Mo 2.84
Rh: 0.5000 0.5000 0.5000  6 Mo 2.70, 6 Rh 2.84
Sr: 0.0000 0.0000 0.0000  6 Sr 2.84

***

Entry 5:
The following is a DFT calculation (PBEsol) of crystalline TaMo2Rh at its relaxed geometry.

Results
calculated formation energy = 3.4 kJ/mol of atoms
total magnetization = 0.002 μB per formula unit
theoretical density = 12.8 g cm⁻³
ΔE to the lowest computed polymorph = 0.44 eV/f.u.
DFT total energy = -11.02 eV/atom

Unit cell a=3.2005 b=4.3900 c=4.3900 alpha=90.00 beta=90.00 gamma=90.00
Closest atoms and distances in Å follow each position.
Element x y z (fractional)
Mo: 0.0000 0.0000 0.5000  4 Rh 2.72, 4 Ta 2.72
Mo: 0.0000 0.5000 0.0000  4 Rh 2.72, 4 Ta 2.72
Rh: 0.5000 0.5000 0.5000  8 Mo 2.72
Ta: 0.5000 0.0000 0.0000  8 Mo 2.72

***

Entry 6:
The following is a DFT calculation (PBEsol) of crystalline Ta2MoRh at its relaxed geometry.

Results
calculated formation energy = -31.8 kJ/mol of atoms
total magnetization = 0.000 μB per formula unit
theoretical density = 14.6 g cm⁻³
ΔE to the lowest computed polymorph = 0.00 eV/f.u.
DFT total energy = -11.58 eV/atom

Unit cell a=3.1960 b=3.1960 c=6.2459 alpha=90.00 beta=90.00 gamma=90.00
Closest atoms and distances in Å follow each position.
Element x y z (fractional)
Rh: 0.5000 0.5000 0.5000  8 Ta 2.76
Ta: 0.0000 0.0000 0.2457  4 Mo 2.73, 4 Rh 2.76
Ta: 0.0000 0.0000 0.7543  4 Mo 2.73, 4 Rh 2.76
Mo: 0.5000 0.5000 0.0000  8 Ta 2.73

***

Entry 7:
The following is a DFT calculation (PBEsol) of crystalline TaMoRh3 at its relaxed geometry.

Results
calculated formation energy = 134.9 kJ/mol of atoms
total magnetization = 0.541 μB per formula unit
theoretical density = 10.5 g cm⁻³
ΔE to the lowest computed polymorph = 0.00 eV/f.u.
DFT total energy = -8.35 eV/atom

Unit cell a=4.5276 b=4.5276 c=4.5276 alpha=90.00 beta=90.00 gamma=90.00
Closest atoms and distances in Å follow each position.
Element x y z (fractional)
Ta: 0.5000 0.5000 0.5000  12 Rh 3.20
Rh: 0.0000 0.0000 0.5000  2 Mo 2.26
Rh: 0.0000 0.5000 0.0000  2 Mo 2.26
Rh: 0.5000 0.0000 0.0000  2 Mo 2.26
Mo: 0.0000 0.0000 0.0000  6 Rh 2.26

***

Entry 8:
The following is a DFT calculation (PBEsol) of crystalline Ta2MoRh at its relaxed geometry.

Results
calculated formation energy = -11.9 kJ/mol of atoms
total magnetization = 0.001 μB per formula unit
theoretical density = 14.6 g cm⁻³
ΔE to the lowest computed polymorph = 0.83 eV/f.u.
DFT total energy = -11.38 eV/atom

Unit cell a=3.2963 b=4.2436 c=4.5678 alpha=90.00 beta=90.00 gamma=90.00
Closest atoms and distances in Å follow each position.
Element x y z (fractional)
Mo: 0.5000 0.5000 0.0000  4 Ta 2.69, 4 Rh 2.82
Ta: 0.0000 0.0000 0.0000  4 Mo 2.69, 4 Ta 2.82
Ta: 0.5000 0.0000 0.5000  4 Rh 2.69, 4 Ta 2.82
Rh: 0.0000 0.5000 0.5000  4 Ta 2.69, 4 Mo 2.82

***

Entry 9:
The following is a DFT calculation (PBEsol) of crystalline TaMo2Rh at its relaxed geometry.

Results
calculated formation energy = -3.7 kJ/mol of atoms
total magnetization = 0.000 μB per formula unit
theoretical density = 12.7 g cm⁻³
ΔE to the lowest computed polymorph = 0.14 eV/f.u.
DFT total energy = -11.09 eV/atom

Unit cell a=3.7537 b=3.7537 c=4.3976 alpha=90.00 beta=90.00 gamma=90.00
Closest atoms and distances in Å follow each position.
Element x y z (fractional)
Mo: 0.0000 0.5000 0.0000  4 Mo 2.65, 4 Ta 2.89, 4 Rh 2.89
Mo: 0.5000 0.0000 0.0000  4 Mo 2.65, 4 Ta 2.89, 4 Rh 2.89
Rh: 0.5000 0.5000 0.5000  4 Ta 2.65, 8 Mo 2.89
Ta: 0.0000 0.0000 0.5000  4 Rh 2.65, 8 Mo 2.89

***

Entry 10:
The following is a DFT calculation (PBEsol) of crystalline TaMo2Rh at its relaxed geometry.

Results
calculated formation energy = -4.0 kJ/mol of atoms
total magnetization = 0.000 μB per formula unit
theoretical density = 12.8 g cm⁻³
ΔE to the lowest computed polymorph = 0.13 eV/f.u.
DFT total energy = -11.10 eV/atom

Unit cell a=2.7149 b=2.7149 c=8.5513 alpha=90.00 beta=90.00 gamma=102.22
Closest atoms and distances in Å follow each position.
Element x y z (fractional)
Mo: 0.0000 0.0000 0.7338  4 Rh 2.63-2.91, 4 Mo 2.71, 2 Ta 2.84
Mo: 0.0000 0.0000 0.2662  4 Rh 2.63-2.91, 4 Mo 2.71, 2 Ta 2.84
Ta: 0.5000 0.5000 0.0000  4 Ta 2.71, 4 Mo 2.84
Rh: 0.5000 0.5000 0.5000  8 Mo 2.63-2.91, 4 Rh 2.71

***

Entry 11:
The following is a DFT calculation (PBEsol) of crystalline TaMo2Rh at its relaxed geometry.

Results
calculated formation energy = -6.1 kJ/mol of atoms
total magnetization = 0.000 μB per formula unit
theoretical density = 12.8 g cm⁻³
ΔE to the lowest computed polymorph = 0.05 eV/f.u.
DFT total energy = -11.12 eV/atom

Unit cell a=2.7127 b=5.1521 c=5.2176 alpha=116.41 beta=99.61 gamma=100.87
Closest atoms and distances in Å follow each position.
Element x y z (fractional)
Mo: 0.0000 0.0000 0.5000  4 Mo 2.68-2.71, 2 Ta 2.73, 2 Rh 2.73
Mo: 0.5000 0.5000 0.5000  4 Mo 2.68-2.71, 2 Ta 2.73, 2 Rh 2.73
Rh: 0.5000 0.0000 0.0000  2 Ta 2.68, 2 Rh 2.71, 4 Mo 2.73
Ta: 0.0000 0.5000 0.0000  2 Rh 2.68, 2 Ta 2.71, 4 Mo 2.73

***

Entry 12:
The following is a DFT calculation (PBEsol) of crystalline Ta2MoRh at its relaxed geometry.

Results
calculated formation energy = 0.0 kJ/mol of atoms
total magnetization = 0.000 μB per formula unit
theoretical density = 14.4 g cm⁻³
ΔE to the lowest computed polymorph = 1.32 eV/f.u.
DFT total energy = -11.25 eV/atom

Unit cell a=2.7711 b=4.6888 c=5.2384 alpha=96.09 beta=90.00 gamma=107.19
Closest atoms and distances in Å follow each position.
Element x y z (fractional)
Ta: 0.2409 0.4818 0.2491  3 Mo 2.65-2.89, 3 Rh 2.77-2.79, 4 Ta 2.77-2.96
Ta: 0.7591 0.5182 0.7509  3 Mo 2.65-2.89, 3 Rh 2.77-2.79, 4 Ta 2.77-2.96
Mo: 0.0000 0.0000 0.5000  6 Ta 2.65-2.89, 2 Mo 2.77, 4 Rh 2.96
Rh: 0.5000 0.0000 0.0000  6 Ta 2.77-2.79, 2 Rh 2.77, 4 Mo 2.96

***

Entry 13:
The following is a DFT calculation (PBEsol) of crystalline TaMoRh2 at its relaxed geometry.

Results
calculated formation energy = -34.6 kJ/mol of atoms
total magnetization = 0.000 μB per formula unit
theoretical density = 13.6 g cm⁻³
DFT total energy = -10.51 eV/atom

Unit cell a=3.8617 b=3.9100 c=3.9100 alpha=90.00 beta=90.00 gamma=90.00
Closest atoms and distances in Å follow each position.
Element x y z (fractional)
Mo: 0.5000 0.0000 0.0000  8 Rh 2.75, 4 Ta 2.76
Ta: 0.5000 0.5000 0.5000  8 Rh 2.75, 4 Mo 2.76
Rh: 0.0000 0.0000 0.5000  4 Ta 2.75, 4 Mo 2.75, 4 Rh 2.76
Rh: 0.0000 0.5000 0.0000  4 Ta 2.75, 4 Mo 2.75, 4 Rh 2.76

***

Entry 14:
The following is a DFT calculation (PBEsol) of crystalline TaMo2Rh at its relaxed geometry.

Results
calculated formation energy = -7.2 kJ/mol of atoms
total magnetization = 0.000 μB per formula unit
theoretical density = 12.8 g cm⁻³
ΔE to the lowest computed polymorph = 0.00 eV/f.u.
DFT total energy = -11.13 eV/atom

Unit cell a=2.7247 b=4.3840 c=5.2306 alpha=90.00 beta=99.79 gamma=90.00
Closest atoms and distances in Å follow each position.
Element x y z (fractional)
Mo: 0.7708 0.5000 0.2348  4 Mo 2.62-2.72, 2 Ta 2.71-2.76, 2 Rh 2.80
Mo: 0.0050 0.0000 0.0089  4 Mo 2.62-2.72, 2 Ta 2.72, 2 Rh 2.72-2.75
Rh: 0.4847 0.0000 0.5099  2 Ta 2.66, 4 Mo 2.72-2.80, 2 Rh 2.72
Ta: 0.2394 0.5000 0.7464  2 Rh 2.66, 4 Mo 2.71-2.76, 2 Ta 2.72

***

Entry 15:
The following is a DFT calculation (PBEsol) of crystalline Ta2MoRh at its relaxed geometry.

Results
calculated formation energy = -28.9 kJ/mol of atoms
total magnetization = 0.000 μB per formula unit
theoretical density = 14.6 g cm⁻³
ΔE to the lowest computed polymorph = 0.12 eV/f.u.
DFT total energy = -11.55 eV/atom

Unit cell a=4.4804 b=4.4804 c=4.4804 alpha=60.00 beta=60.00 gamma=60.00
Closest atoms and distances in Å follow each position.
Element x y z (fractional)
Rh: 0.0000 0.0000 0.0000  8 Ta 2.74
Ta: 0.2500 0.2500 0.2500  4 Mo 2.74, 4 Rh 2.74
Ta: 0.7500 0.7500 0.7500  4 Rh 2.74, 4 Mo 2.74
Mo: 0.5000 0.5000 0.5000  8 Ta 2.74

***

Entry 16:
The following is a DFT calculation (PBEsol) of crystalline TaMoRh at its relaxed geometry.

Results
calculated formation energy = 3.4 kJ/mol of atoms
total magnetization = 0.003 μB per formula unit
theoretical density = 13.6 g cm⁻³
DFT total energy = -10.78 eV/atom

Unit cell a=2.7289 b=4.4339 c=4.4339 alpha=120.00 beta=90.00 gamma=90.00
Closest atoms and distances in Å follow each position.
Element x y z (fractional)
Rh: 0.6399 0.3333 0.6667  3 Ta 2.69, 2 Rh 2.73, 3 Mo 2.77
Mo: 0.0238 0.0000 0.0000  3 Ta 2.70, 2 Mo 2.73, 3 Rh 2.77
Ta: 0.3363 0.6667 0.3333  3 Rh 2.69, 3 Mo 2.70, 2 Ta 2.73

***

Entry 17:
The following is a DFT calculation (PBEsol) of crystalline Ta2MoRhW at its relaxed geometry.

Results
calculated formation energy = 162.2 kJ/mol of atoms
total magnetization = 0.000 μB per formula unit
theoretical density = 12.5 g cm⁻³
DFT total energy = -10.08 eV/atom

Unit cell a=4.5141 b=4.6839 c=4.6839 alpha=90.00 beta=90.00 gamma=90.00
Closest atoms and distances in Å follow each position.
Element x y z (fractional)
Rh: 0.0000 0.0000 0.0000  2 Mo 2.26, 4 Ta 2.34
Ta: 0.0000 0.0000 0.5000  2 Rh 2.34
Ta: 0.0000 0.5000 0.0000  2 Rh 2.34
Mo: 0.5000 0.0000 0.0000  2 Rh 2.26
W: 0.5000 0.5000 0.5000  8 Ta 3.25, 4 Mo 3.31

***

Entry 18:
The following is a DFT calculation (PBEsol) of crystalline TcMoRh at its relaxed geometry.

Results
calculated formation energy = -1.4 kJ/mol of atoms
total magnetization = 0.000 μB per formula unit
theoretical density = 11.6 g cm⁻³
ΔE to the lowest computed polymorph = 0.00 eV/f.u.
DFT total energy = -10.41 eV/atom

Unit cell a=2.6849 b=2.6849 c=6.2089 alpha=102.47 beta=102.47 gamma=90.06
Closest atoms and distances in Å follow each position.
Element x y z (fractional)
Tc: 0.3281 0.3281 0.6561  4 Rh 2.67, 4 Tc 2.68, 4 Mo 2.80
Rh: 0.6695 0.6695 0.3390  4 Tc 2.67, 4 Rh 2.68, 4 Mo 2.74
Mo: 0.0024 0.0024 0.0049  4 Mo 2.68, 4 Rh 2.74, 4 Tc 2.80

***

Entry 19:
The following is a DFT calculation (PBEsol) of crystalline TcMoRh at its relaxed geometry.

Results
calculated formation energy = 59.2 kJ/mol of atoms
total magnetization = 0.000 μB per formula unit
theoretical density = 9.9 g cm⁻³
ΔE to the lowest computed polymorph = 1.88 eV/f.u.
DFT total energy = -9.78 eV/atom

Unit cell a=4.1321 b=4.1321 c=4.1321 alpha=60.00 beta=60.00 gamma=60.00
Closest atoms and distances in Å follow each position.
Element x y z (fractional)
Rh: 0.0000 0.0000 0.0000  4 Mo 2.53
Tc: 0.5000 0.5000 0.5000  4 Mo 2.53
Mo: 0.2500 0.2500 0.2500  4 Rh 2.53, 4 Tc 2.53

***

Entry 20:
The following is a DFT calculation (PBEsol) of crystalline TcMoRh at its relaxed geometry.

Results
calculated formation energy = 5.7 kJ/mol of atoms
total magnetization = 0.000 μB per formula unit
theoretical density = 11.5 g cm⁻³
ΔE to the lowest computed polymorph = 0.22 eV/f.u.
DFT total energy = -10.33 eV/atom

Unit cell a=2.7009 b=2.7009 c=6.7588 alpha=90.00 beta=90.00 gamma=120.00
Closest atoms and distances in Å follow each position.
Element x y z (fractional)
Rh: 0.6667 0.3333 0.6648  3 Tc 2.70, 6 Rh 2.70, 3 Mo 2.73
Mo: 0.0000 0.0000 0.9965  6 Mo 2.70, 3 Rh 2.73, 3 Tc 2.79
Tc: 0.3333 0.6667 0.3387  3 Rh 2.70, 6 Tc 2.70, 3 Mo 2.79